Record 1
This record from OQMD via LeMat-Bulk describes a relaxed structure of NdH3CSO7. The functional is GGA-PBE.

```
NdH3CSO7
1.0
6.8861 0.0000 0.0000
0.0000 6.8861 0.0000
0.0000 0.0000 11.4718
Nd H C S O
4 12 4 4 28
Cartesian
0.8264 2.5552 0.0000
2.5552 6.0597 2.8679
4.3309 0.8264 8.6038
6.0597 4.3309 5.7359
0.1473 5.9211 10.9705
0.9650 0.1473 8.1026
1.1506 4.1813 8.8418
2.5990 3.7959 9.3544
2.7048 1.1506 5.9738
3.0902 2.5990 6.4864
3.7959 4.2870 0.7505
4.1813 5.7355 0.2380
4.2870 3.0902 3.6185
5.7355 2.7048 3.1059
5.9211 6.7388 2.3667
6.7388 0.9650 5.2346
0.7698 5.9551 0.4052
0.9310 0.7698 9.0091
5.9551 6.1162 3.2732
6.1162 0.9310 6.1411
1.6768 2.6286 3.6063
2.6286 5.2092 6.4743
4.2575 1.6768 0.7384
5.2092 4.2575 9.3422
0.1984 5.7532 3.7447
0.8031 2.4686 2.4298
0.8836 3.0569 4.7625
1.0916 4.8746 0.9849
1.1329 0.1984 0.8768
1.3476 4.5756 6.8323
1.6711 3.9825 9.6530
2.0115 1.0916 9.5887
2.3105 1.3476 3.9644
2.4686 6.0829 5.2978
2.7244 3.6583 3.3124
2.9036 1.6711 6.7850
3.0569 6.0025 7.6304
3.2277 2.7244 0.4444
3.6583 4.1617 6.1803
3.8292 0.8836 1.8946
3.9825 5.2150 1.0492
4.1617 3.2277 9.0483
4.4174 0.8031 11.0337
4.5756 5.5384 9.7003
4.8746 5.7945 3.8529
5.2150 2.9036 3.9171
5.5384 2.3105 1.0964
5.7532 6.6877 6.6127
5.7945 2.0115 6.7208
6.0025 3.8292 10.4984
6.0829 4.4174 8.1657
6.6877 1.1329 9.4806
```

## Properties
The calculation puts the final energy at -6.480 eV per atom.

=====

Record 2
This record from OQMD via LeMat-Bulk describes a relaxed structure of TaCuSiOs. The functional is GGA-PBE.

```
TaCuSiOs
1.0
0.0000 3.0606 3.0606
3.0606 0.0000 3.0606
3.0606 3.0606 0.0000
Ta Cu Si Os
1 1 1 1
Cartesian
0.0000 0.0000 0.0000
4.5909 4.5909 4.5909
3.0606 3.0606 3.0606
1.5303 1.5303 1.5303
```

## Properties
The calculation puts the final energy at -8.198 eV per atom. The value obtained for the energy above the lowest structure with this stoichiometry is 0 meV/atom.

=====

Record 3
This record from OQMD via LeMat-Bulk describes a relaxed structure of PrGeHO4. The functional is GGA-PBE.

```
PrGeHO4
1.0
4.6700 0.0000 0.0000
0.0000 6.5095 0.0000
-0.7968 0.0000 5.3866
Pr Ge H O
2 2 2 8
Cartesian
0.0414 1.6274 1.1990
3.8318 4.8822 4.1876
1.8657 4.8822 1.6245
2.0076 1.6274 3.7621
2.3350 0.0000 0.0000
2.3350 3.2548 0.0000
0.2541 1.6274 3.6456
1.2920 3.5724 0.5217
1.2920 6.1919 0.5217
1.3365 4.8822 3.2730
2.5367 1.6274 2.1137
2.5812 0.3176 4.8649
2.5812 2.9372 4.8649
3.6191 4.8822 1.7410
```

## Properties
The calculation puts the final energy at -6.782 eV per atom. The value obtained for the energy above the lowest structure with this stoichiometry is 51 meV/atom.

=====

Record 4
This record from OQMD via LeMat-Bulk describes a relaxed structure of UCuPt. The functional is GGA-PBE.

```
UCuPt
1.0
0.0000 3.0879 3.0879
3.0879 0.0000 3.0879
3.0879 3.0879 0.0000
U Cu Pt
1 1 1
Cartesian
0.0000 0.0000 0.0000
4.6318 4.6318 4.6318
3.0879 3.0879 3.0879
```

## Properties
The calculation puts the final energy at -7.011 eV per atom. The value obtained for the energy above the lowest structure with this stoichiometry is 0 meV/atom.